# 1
The following is a GGA-PBE calculation of an optimized crystal structure of K3Cd, from Alexandria.

Values from the calculation:
- Symmetry: No. 25

Cell lengths 4.632, 4.194, 12.014 Å; angles 90.00, 90.00, 90.00 degrees
Sites, in units of the cell vectors:
K (0.000, 0.500, 0.457)
K (0.500, 0.500, 0.141)
K (0.500, 0.000, 0.753)
Cd (0.000, 0.000, 0.983)



# 2
The following is a GGA-PBE calculation of an optimized crystal structure of K13Cd2, from Alexandria.

Values from the calculation:
- Symmetry: No. 2

Cell lengths 8.671, 10.351, 11.739 Å; angles 114.43, 89.23, 101.49 degrees
Sites, in units of the cell vectors:
K (0.769, 0.583, 0.984)
K (0.231, 0.417, 0.016)
K (0.000, 0.000, 0.000)
K (0.171, 0.983, 0.650)
K (0.829, 0.017, 0.350)
K (0.046, 0.442, 0.644)
K (0.954, 0.558, 0.356)
K (0.484, 0.657, 0.431)
K (0.516, 0.343, 0.569)
K (0.433, 0.774, 0.860)
K (0.567, 0.226, 0.140)
K (0.710, 0.092, 0.744)
K (0.290, 0.908, 0.256)
Cd (0.801, 0.718, 0.688)
Cd (0.199, 0.282, 0.312)



# 3
The following is a GGA-PBE calculation of an optimized crystal structure of K3Cd, from Alexandria.

Values from the calculation:
- Symmetry: No. 71

Cell lengths 8.037, 8.037, 8.037 Å; angles 146.33, 130.65, 61.07 degrees
Sites, in units of the cell vectors:
K (0.584, 0.500, 0.084)
K (0.878, 0.295, 0.583)
K (0.288, 0.705, 0.583)
Cd (0.084, 0.000, 0.084)



Short version: spin magnetization = 0.00 0.00 0.00 μB/cell, in the order given.
Short version: ΔH_f (0 K) = 0.06 0.00 0.01 eV/atom, in the order given.
Short version: ρ = 1.63 1.30 1.76 g/cm3, in the order given.